VASP calculation (PBE) on crystalline AcTaGa at its relaxed geometry.

## Properties
Energy, eV for the cell shown: -59.38
SG: No. 216
Relative energy among the computed polymorphs, eV per atom: 0.789

abc: 7.2406 7.2406 7.2406
angles: 90.00 90.00 90.00
Element x y z (fractional)
Ac  0.0000  0.0000  0.0000
Ac  0.0000  0.5000  0.5000
Ac  0.5000  0.0000  0.5000
Ac  0.5000  0.5000  0.0000
Ta  0.2500  0.2500  0.2500
Ta  0.2500  0.7500  0.7500
Ta  0.7500  0.2500  0.7500
Ta  0.7500  0.7500  0.2500
Ga  0.2500  0.2500  0.7500
Ga  0.2500  0.7500  0.2500
Ga  0.7500  0.2500  0.2500
Ga  0.7500  0.7500  0.7500

---

VASP calculation (PBE) on crystalline YLuZnNi at its relaxed geometry.

## Properties
Energy, eV for the cell shown: -72.46
Formation enthalpy at 0 K, eV per atom: -0.07
SG: No. 216

abc: 6.6994 6.6994 6.6994
angles: 90.00 90.00 90.00
Element x y z (fractional)
Y  0.0000  0.0000  0.0000
Y  0.0000  0.5000  0.5000
Y  0.5000  0.0000  0.5000
Y  0.5000  0.5000  0.0000
Lu  0.2500  0.2500  0.2500
Lu  0.2500  0.7500  0.7500
Lu  0.7500  0.2500  0.7500
Lu  0.7500  0.7500  0.2500
Zn  0.0000  0.0000  0.5000
Zn  0.0000  0.5000  0.0000
Zn  0.5000  0.0000  0.0000
Zn  0.5000  0.5000  0.5000
Ni  0.2500  0.2500  0.7500
Ni  0.2500  0.7500  0.2500
Ni  0.7500  0.2500  0.2500
Ni  0.7500  0.7500  0.7500

---

VASP calculation (PBE) on crystalline ScNbN2O at its relaxed geometry.

## Properties
Energy, eV for the cell shown: -372.52
SG: No. 14

abc: 7.6751 7.6866 10.6792
angles: 90.00 132.55 90.00
Element x y z (fractional)
Sc  0.0642  0.2106  0.0238
Sc  0.0642  0.2894  0.5238
Sc  0.4354  0.7213  0.4647
Sc  0.4354  0.7787  0.9647
Sc  0.5646  0.2213  0.0353
Sc  0.5646  0.2787  0.5353
Sc  0.9358  0.7106  0.4762
Sc  0.9358  0.7894  0.9762
Nb  0.0358  0.0125  0.2710
Nb  0.0358  0.4875  0.7710
Nb  0.4542  0.5153  0.2100
Nb  0.4542  0.9847  0.7100
Nb  0.5458  0.0153  0.2900
Nb  0.5458  0.4847  0.7900
Nb  0.9642  0.5125  0.2290
Nb  0.9642  0.9875  0.7290
N  0.0624  0.7480  0.2186
N  0.0624  0.7520  0.7186
N  0.1685  0.5956  0.9950
N  0.1685  0.9044  0.4950
N  0.3201  0.0808  0.3197
N  0.3201  0.4192  0.8197
N  0.4376  0.2376  0.6573
N  0.4376  0.2624  0.1573
N  0.5624  0.7376  0.8427
N  0.5624  0.7624  0.3427
N  0.6799  0.5808  0.1803
N  0.6799  0.9192  0.6803
N  0.8315  0.0956  0.5050
N  0.8315  0.4044  0.0050
N  0.9376  0.2480  0.2814
N  0.9376  0.2520  0.7814
O  0.1665  0.5405  0.4914
O  0.1665  0.9595  0.9914
O  0.3410  0.0413  0.8360
O  0.3410  0.4587  0.3360
O  0.6590  0.5413  0.6640
O  0.6590  0.9587  0.1640
O  0.8335  0.0405  0.0086
O  0.8335  0.4595  0.5086

---

VASP calculation (PBE) on crystalline Sm5YTe6 at its relaxed geometry.

## Properties
Energy, eV for the cell shown: -65.36
SG: No. 12

abc: 7.6874 7.6874 7.6580
angles: 99.63 99.63 120.13
Element x y z (fractional)
Sm  0.0000  0.0000  0.0000
Sm  0.1673  0.8327  0.5000
Sm  0.3281  0.6719  0.0000
Sm  0.6719  0.3281  0.0000
Sm  0.8327  0.1673  0.5000
Y  0.5000  0.5000  0.5000
Te  0.0901  0.4177  0.2536
Te  0.2555  0.2555  0.7506
Te  0.4177  0.0901  0.2536
Te  0.5823  0.9099  0.7464
Te  0.7445  0.7445  0.2494
Te  0.9099  0.5823  0.7464

---

VASP calculation (PBE) on crystalline CsInCo at its relaxed geometry.

## Properties
Energy, eV for the cell shown: -24.64
SG: No. 216

abc: 7.9462 7.9462 7.9462
angles: 90.00 90.00 90.00
Element x y z (fractional)
Cs  0.0000  0.0000  0.0000
Cs  0.0000  0.5000  0.5000
Cs  0.5000  0.0000  0.5000
Cs  0.5000  0.5000  0.0000
In  0.2500  0.2500  0.2500
In  0.2500  0.7500  0.7500
In  0.7500  0.2500  0.7500
In  0.7500  0.7500  0.2500
Co  0.2500  0.2500  0.7500
Co  0.2500  0.7500  0.2500
Co  0.7500  0.2500  0.2500
Co  0.7500  0.7500  0.7500

---

VASP calculation (PBE) on crystalline Li4MgInCu2 at its relaxed geometry.

## Properties
Energy, eV for the cell shown: -20.37
SG: No. 115

abc: 4.4512 4.4512 6.2181
angles: 90.00 90.00 90.00
Element x y z (fractional)
Li  0.0000  0.0000  0.0000
Li  0.0000  0.5000  0.7496
Li  0.5000  0.0000  0.2504
Li  0.5000  0.5000  0.5000
Mg  0.0000  0.0000  0.5000
In  0.5000  0.5000  0.0000
Cu  0.0000  0.5000  0.2486
Cu  0.5000  0.0000  0.7514

---

VASP calculation (PBE) on crystalline Tm3AlZn2CuAg2 at its relaxed geometry.

## Properties
Energy, eV for the cell shown: -32.34
SG: No. 38

abc: 3.9170 7.2678 7.2678
angles: 120.34 90.00 90.00
Element x y z (fractional)
Tm  0.0000  0.0000  0.0000
Tm  0.0000  0.1994  0.6072
Tm  0.0000  0.6072  0.1994
Al  0.5000  0.3726  0.3726
Zn  0.5000  0.6002  0.8386
Zn  0.5000  0.8386  0.6002
Cu  0.0000  0.5972  0.5972
Ag  0.5000  0.2696  0.9423
Ag  0.5000  0.9423  0.2696

---

VASP calculation (PBE) on crystalline GdTmGa2Pd4 at its relaxed geometry.

## Properties
Energy, eV for the cell shown: -43.06
SG: No. 187

abc: 4.4027 4.4027 9.0370
angles: 90.00 90.00 120.00
Element x y z (fractional)
Gd  0.0000  0.0000  0.0000
Tm  0.6667  0.3333  0.5000
Ga  0.3333  0.6667  0.2523
Ga  0.3333  0.6667  0.7477
Pd  0.0000  0.0000  0.3353
Pd  0.0000  0.0000  0.6647
Pd  0.6667  0.3333  0.1730
Pd  0.6667  0.3333  0.8270